(1)
A plane-wave DFT calculation with GGA-PBE was carried out for Sm5Er2Mg after structural relaxation.

a = 8.718 Å, b = 8.718 Å, c = 3.617 Å
α = 90.00°, β = 90.00°, γ = 112.35°
Sites, in units of the cell vectors:
Sm 0.000 0.000 0.000
Sm 0.133 0.385 0.500
Sm 0.385 0.133 0.500
Sm 0.615 0.867 0.500
Sm 0.867 0.615 0.500
Er 0.242 0.758 0.000
Er 0.758 0.242 0.000
Mg 0.500 0.500 0.000

Summary:
- Crystal system: orthorhombic
- E_form: 1.1 kJ/mol of atoms
- Symmetry: Cmmm, No. 65
- Energy above the most stable polymorph in this dataset: 0.0000 eV/atom

(2)
A plane-wave DFT calculation with GGA-PBE was carried out for SmEr2Mg after structural relaxation.

a = 9.941 Å, b = 9.941 Å, c = 9.941 Å
α = 150.52°, β = 150.52°, γ = 42.17°
Sites, in units of the cell vectors:
Sm 0.129 0.129 0.000
Sm 0.871 0.871 0.000
Er 0.000 0.500 0.500
Er 0.367 0.367 0.000
Er 0.500 0.000 0.500
Er 0.633 0.633 0.000
Mg 0.250 0.750 0.500
Mg 0.750 0.250 0.500

Summary:
- Crystal system: tetragonal
- E_form: -2.7 kJ/mol of atoms
- Symmetry: I4/mmm, No. 139
- Energy above the most stable polymorph in this dataset: 0.0000 eV/atom

(3)
A plane-wave DFT calculation with GGA-PBE was carried out for Sm2Er3Mg after structural relaxation.

a = 7.868 Å, b = 7.868 Å, c = 7.868 Å
α = 155.83°, β = 101.17°, γ = 83.91°
Sites, in units of the cell vectors:
Sm 0.171 0.000 0.171
Sm 0.829 0.000 0.829
Er 0.268 0.268 0.000
Er 0.585 0.250 0.336
Er 0.914 0.250 0.664
Mg 0.511 0.011 0.500

Summary:
- Crystal system: orthorhombic
- E_form: 38.2 kJ/mol of atoms
- Symmetry: Imm2, No. 44
- Energy above the most stable polymorph in this dataset: 0.2598 eV/atom

(4)
A plane-wave DFT calculation with GGA-PBE was carried out for Sm5ErMg6 after structural relaxation.

a = 8.577 Å, b = 8.577 Å, c = 7.664 Å
α = 90.00°, β = 90.00°, γ = 143.16°
Sites, in units of the cell vectors:
Sm 0.000 0.000 0.000
Sm 0.332 0.668 0.000
Sm 0.335 0.665 0.500
Sm 0.665 0.335 0.500
Sm 0.668 0.332 0.000
Er 0.000 0.000 0.500
Mg 0.165 0.835 0.254
Mg 0.165 0.835 0.746
Mg 0.500 0.500 0.252
Mg 0.500 0.500 0.748
Mg 0.835 0.165 0.254
Mg 0.835 0.165 0.746

Summary:
- Crystal system: orthorhombic
- E_form: -9.2 kJ/mol of atoms
- Symmetry: Cmmm, No. 65

(5)
A plane-wave DFT calculation with GGA-PBE was carried out for Sm7Er3Mg after structural relaxation.

a = 7.057 Å, b = 7.057 Å, c = 8.597 Å
α = 90.00°, β = 90.00°, γ = 120.00°
Sites, in units of the cell vectors:
Sm 0.000 0.000 0.000
Sm 0.000 0.500 0.002
Sm 0.164 0.328 0.666
Sm 0.164 0.836 0.666
Sm 0.500 0.000 0.002
Sm 0.500 0.500 0.002
Sm 0.672 0.836 0.666
Er 0.331 0.166 0.333
Er 0.834 0.166 0.333
Er 0.834 0.669 0.333
Mg 0.667 0.333 0.666

Summary:
- Crystal system: trigonal
- E_form: 18.1 kJ/mol of atoms
- Symmetry: P3m1, No. 156

(6)
A plane-wave DFT calculation with GGA-PBE was carried out for Sm6ErMg5 after structural relaxation.

a = 5.468 Å, b = 7.748 Å, c = 8.701 Å
α = 90.00°, β = 108.30°, γ = 90.00°
Sites, in units of the cell vectors:
Sm 0.000 0.240 0.000
Sm 0.000 0.760 0.000
Sm 0.332 0.248 0.661
Sm 0.332 0.752 0.661
Sm 0.668 0.248 0.339
Sm 0.668 0.752 0.339
Er 0.500 0.500 0.000
Mg 0.160 0.500 0.325
Mg 0.165 0.000 0.335
Mg 0.500 0.000 0.000
Mg 0.835 0.000 0.665
Mg 0.840 0.500 0.675

Summary:
- Crystal system: monoclinic
- E_form: -5.0 kJ/mol of atoms
- Symmetry: P2/m, No. 10